Here is Y3SiAs2Rh9 after structural relaxation from Alexandria via LeMat-Bulk. Energies are from PBE.

abc: 6.3405 6.3405 8.3584
angles: 90.00 90.00 120.00
Space group P-3m1 (No. 164)
Inequivalent atoms, fractional coordinates:
Y (0.0000, 0.0000, 0.0000) x1
Y (0.3333, 0.6667, 0.7034) x2
Si (0.0000, 0.0000, 0.5000) x1
As (0.3333, 0.6667, 0.1843) x2
Rh (0.0000, 0.5000, 0.0000) x3
Rh (0.1423, 0.2846, 0.2907) x6

Properties
Raw formation energy (meV/atom): -498.6